The following is a PBE-GGA calculation of a geometry-optimized BaScTa structure, from Alexandria.

Computed properties:
The value obtained for the energy relative to the elements is 1362 meV per atom. The space group is F-43m, No. 216. The calculation puts the excess energy over the best structure of this formula in the dataset at 766 meV/atom. Its crystal system is cubic.

Cell lengths 5.1498, 5.1498, 5.1498 Å; angles 60.00, 60.00, 60.00 degrees
Closest atoms and distances in Å follow each position.
Fractional positions:
Ba  0.0000  0.0000  0.0000  4 Ta 3.15
Sc  0.5000  0.5000  0.5000  4 Ta 3.15
Ta  0.7500  0.7500  0.7500  4 Ba 3.15, 4 Sc 3.15



The following is a PBE-GGA calculation of a geometry-optimized GaFeIBr2 structure, from Alexandria.

Computed properties:
The raw formation energy is 0.51 eV/atom. The space group is P4/mmm, No. 123. Its crystal system is tetragonal.

Cell lengths 6.6771, 6.6771, 4.7662 Å; angles 90.00, 90.00, 90.00 degrees
Closest atoms and distances in Å follow each position.
Fractional positions:
Ga  0.0000  0.0000  0.0000  8 Br 4.10
Fe  0.5000  0.5000  0.0000  2 I 2.38
I  0.5000  0.5000  0.5000  2 Fe 2.38
Br  0.0000  0.5000  0.5000  2 I 3.34
Br  0.5000  0.0000  0.5000  2 I 3.34



The following is a PBE-GGA calculation of a geometry-optimized NaLi2GeRh structure, from Alexandria.

Computed properties:
The value obtained for the energy relative to the elements is -155 meV per atom. The space group is P4/mmm, No. 123. Its crystal system is tetragonal.

Cell lengths 4.8124, 4.8124, 4.6655 Å; angles 90.00, 90.00, 90.00 degrees
Closest atoms and distances in Å follow each position.
Fractional positions:
Na  0.0000  0.0000  0.0000  8 Li 3.35, 4 Ge 3.40
Li  0.0000  0.5000  0.5000  2 Rh 2.41
Li  0.5000  0.0000  0.5000  2 Rh 2.41
Ge  0.5000  0.5000  0.0000  2 Rh 2.33
Rh  0.5000  0.5000  0.5000  2 Ge 2.33, 4 Li 2.41



The following is a PBE-GGA calculation of a geometry-optimized CoCuSn4 structure, from Alexandria.

Computed properties:
The value obtained for the energy relative to the elements is -22 meV per atom. The space group is P4/mmm, No. 123. The calculation puts the excess energy over the best structure of this formula in the dataset at 0 meV/atom. Its crystal system is tetragonal.

Cell lengths 4.4628, 4.4628, 6.4085 Å; angles 90.00, 90.00, 90.00 degrees
Closest atoms and distances in Å follow each position.
Fractional positions:
Co  0.0000  0.0000  0.0000  8 Sn 2.71
Cu  0.5000  0.5000  0.5000  8 Sn 2.78
Sn  0.0000  0.5000  0.2411  2 Co 2.71, 2 Cu 2.78
Sn  0.0000  0.5000  0.7589  2 Co 2.71, 2 Cu 2.78
Sn  0.5000  0.0000  0.2411  2 Co 2.71, 2 Cu 2.78
Sn  0.5000  0.0000  0.7589  2 Co 2.71, 2 Cu 2.78